CaCrW | GGA-PBE | optimized geometry

a = 3.2323 Å, b = 3.2323 Å, c = 11.3456 Å
α = 90.00°, β = 90.00°, γ = 90.00°
Closest atoms and distances in Å follow each position.
Fractional positions:
1 Ca 0.0000 0.0000 0.0000  4 Ca 3.23, 5 Cr 3.26-3.35, 5 W 3.29-3.30
2 Ca 0.5000 0.5000 0.5000  4 Ca 3.23, 5 Cr 3.26-3.35, 5 W 3.29-3.30
3 Cr 0.0000 0.0000 0.2955  4 W 2.48
4 Cr 0.5000 0.5000 0.7955  4 W 2.48
5 W 0.0000 0.0000 0.7102  4 Cr 2.48
6 W 0.5000 0.5000 0.2102  4 Cr 2.48

## Properties
Distance to the lowest polymorph of the same formula in meV/atom: 0.0
D(E_F) in states/eV/cell: 6.03
V in Å³ per cell: 118.5
Energy in eV per atom: -7.5664
Energy relative to the elements in eV/atom: 0.626
Symmetry: No. 107

***

Ca3CrW | GGA-PBE | optimized geometry

a = 5.4872 Å, b = 5.4872 Å, c = 5.4872 Å
α = 90.00°, β = 90.00°, γ = 90.00°
Closest atoms and distances in Å follow each position.
Fractional positions:
1 Ca 0.0000 0.0000 0.5000  2 W 2.74
2 Ca 0.0000 0.5000 0.0000  2 W 2.74
3 Ca 0.5000 0.0000 0.0000  2 W 2.74
4 Cr 0.5000 0.5000 0.5000  12 Ca 3.88
5 W 0.0000 0.0000 0.0000  6 Ca 2.74

## Properties
Distance to the lowest polymorph of the same formula in meV/atom: 0.0
D(E_F) in states/eV/cell: 14.06
V in Å³ per cell: 165.2
Energy in eV per atom: -3.8111
Energy relative to the elements in eV/atom: 1.905
Symmetry: No. 221

***

CaCr3W | GGA-PBE | optimized geometry

a = 4.7764 Å, b = 4.7764 Å, c = 4.7764 Å
α = 90.00°, β = 90.00°, γ = 90.00°
Closest atoms and distances in Å follow each position.
Fractional positions:
1 Ca 0.0000 0.0000 0.0000  12 Cr 3.38
2 Cr 0.0000 0.5000 0.5000  2 W 2.39
3 Cr 0.5000 0.0000 0.5000  2 W 2.39
4 Cr 0.5000 0.5000 0.0000  2 W 2.39
5 W 0.5000 0.5000 0.5000  6 Cr 2.39

## Properties
Distance to the lowest polymorph of the same formula in meV/atom: 0.0
D(E_F) in states/eV/cell: 1.49
V in Å³ per cell: 109.0
Energy in eV per atom: -7.6809
Energy relative to the elements in eV/atom: 1.084
Symmetry: No. 221

***

Ca3CrW | GGA-PBE | optimized geometry

a = 5.1193 Å, b = 5.1193 Å, c = 5.1193 Å
α = 90.00°, β = 90.00°, γ = 90.00°
Closest atoms and distances in Å follow each position.
Fractional positions:
1 Ca 0.0000 0.0000 0.5000  2 Cr 2.56
2 Ca 0.0000 0.5000 0.0000  2 Cr 2.56
3 Ca 0.5000 0.0000 0.0000  2 Cr 2.56
4 Cr 0.0000 0.0000 0.0000  6 Ca 2.56
5 W 0.5000 0.5000 0.5000  12 Ca 3.62

## Properties
Distance to the lowest polymorph of the same formula in meV/atom: 33.1
D(E_F) in states/eV/cell: 9.42
V in Å³ per cell: 134.2
Energy in eV per atom: -3.7779
Energy relative to the elements in eV/atom: 1.938
Symmetry: No. 221

***

CaCrW | GGA-PBE | optimized geometry

a = 3.1250 Å, b = 3.1250 Å, c = 6.9626 Å
α = 90.00°, β = 90.00°, γ = 120.00°
Closest atoms and distances in Å follow each position.
Fractional positions:
1 Ca 0.0000 0.0000 0.0000  6 Ca 3.13, 3 Cr 3.18, 3 W 3.30
2 Cr 0.6667 0.3333 0.3765  3 W 2.40
3 W 0.3333 0.6667 0.6035  3 Cr 2.40

## Properties
Distance to the lowest polymorph of the same formula in meV/atom: 228.1
D(E_F) in states/eV/cell: 3.86
V in Å³ per cell: 58.9
Energy in eV per atom: -7.3383
Energy relative to the elements in eV/atom: 0.854
Symmetry: No. 156

***

Ca4CrW | GGA-PBE | optimized geometry

a = 6.3186 Å, b = 6.3186 Å, c = 6.3186 Å
α = 60.00°, β = 60.00°, γ = 60.00°
Closest atoms and distances in Å follow each position.
Fractional positions:
1 Ca 0.1252 0.1252 0.1252  6 Ca 3.15-3.16
2 Ca 0.1252 0.1252 0.6245  6 Ca 3.15-3.16
3 Ca 0.1252 0.6245 0.1252  6 Ca 3.15-3.16
4 Ca 0.6245 0.1252 0.1252  6 Ca 3.15-3.16
5 Cr 0.7500 0.7500 0.7500  12 Ca 3.71, 4 W 3.87
6 W 0.5000 0.5000 0.5000  12 Ca 3.70, 4 Cr 3.87

## Properties
D(E_F) in states/eV/cell: 3.26
V in Å³ per cell: 178.4
Energy in eV per atom: -3.7897
Energy relative to the elements in eV/atom: 1.307
Symmetry: No. 216

***

Ca2Cr2W | GGA-PBE | optimized geometry

a = 3.7851 Å, b = 3.7851 Å, c = 13.1574 Å
α = 90.00°, β = 90.00°, γ = 90.00°
Closest atoms and distances in Å follow each position.
Fractional positions:
1 Ca 0.0000 0.5000 0.2500  4 Ca 2.68
2 Ca 0.0000 0.5000 0.7500  4 Ca 2.68
3 Ca 0.5000 0.0000 0.2500  4 Ca 2.68
4 Ca 0.5000 0.0000 0.7500  4 Ca 2.68
5 Cr 0.0000 0.0000 0.0718  1 Cr 1.89
6 Cr 0.0000 0.0000 0.9282  1 Cr 1.89
7 Cr 0.5000 0.5000 0.4282  1 Cr 1.89
8 Cr 0.5000 0.5000 0.5718  1 Cr 1.89
9 W 0.0000 0.0000 0.5000  8 Cr 2.84
10 W 0.5000 0.5000 0.0000  8 Cr 2.84

## Properties
Distance to the lowest polymorph of the same formula in meV/atom: 33.8
D(E_F) in states/eV/cell: 5.38
V in Å³ per cell: 188.5
Energy in eV per atom: -5.9480
Energy relative to the elements in eV/atom: 1.293
Symmetry: No. 139

***

CaCrW | GGA-PBE | optimized geometry

a = 3.2182 Å, b = 4.8542 Å, c = 14.1649 Å
α = 90.00°, β = 90.00°, γ = 90.00°
Closest atoms and distances in Å follow each position.
Fractional positions:
1 Ca 0.0000 0.0000 0.0000  6 Ca 2.91-3.22, 2 Cr 3.03, 2 W 3.18
2 Ca 0.0000 0.5000 0.5000  6 Ca 2.91-3.22, 2 Cr 3.03, 2 W 3.18
3 Ca 0.5000 0.0000 0.5000  6 Ca 2.91-3.22, 2 Cr 3.03, 2 W 3.18
4 Ca 0.5000 0.5000 0.0000  6 Ca 2.91-3.22, 2 Cr 3.03, 2 W 3.18
5 Cr 0.0000 0.0000 0.3186  2 W 2.39
6 Cr 0.0000 0.5000 0.8186  2 W 2.39
7 Cr 0.5000 0.0000 0.8186  2 W 2.39
8 Cr 0.5000 0.5000 0.3186  2 W 2.39
9 W 0.0000 0.0000 0.6936  2 Cr 2.39
10 W 0.0000 0.5000 0.1936  2 Cr 2.39
11 W 0.5000 0.0000 0.1936  2 Cr 2.39
12 W 0.5000 0.5000 0.6936  2 Cr 2.39

## Properties
Distance to the lowest polymorph of the same formula in meV/atom: 186.2
D(E_F) in states/eV/cell: 16.78
V in Å³ per cell: 221.3
Energy in eV per atom: -7.3801
Energy relative to the elements in eV/atom: 0.813
Symmetry: No. 42

***

CaCrW | GGA-PBE | optimized geometry

a = 2.6654 Å, b = 2.6654 Å, c = 14.9119 Å
α = 90.00°, β = 90.00°, γ = 90.00°
Closest atoms and distances in Å follow each position.
Fractional positions:
1 Ca 0.0000 0.0000 0.0000  4 Ca 2.67
2 Ca 0.5000 0.5000 0.5000  4 Ca 2.67
3 Cr 0.0000 0.0000 0.3274  4 Cr 2.67, 4 W 2.86
4 Cr 0.5000 0.5000 0.8274  4 Cr 2.67, 4 W 2.86
5 W 0.0000 0.0000 0.6829  4 W 2.67, 4 Cr 2.86
6 W 0.5000 0.5000 0.1829  4 W 2.67, 4 Cr 2.86

## Properties
Distance to the lowest polymorph of the same formula in meV/atom: 427.6
D(E_F) in states/eV/cell: 9.86
V in Å³ per cell: 105.9
Energy in eV per atom: -7.1388
Energy relative to the elements in eV/atom: 1.054
Symmetry: No. 107

***

Ca3YCr | GGA-PBE | optimized geometry

a = 5.6782 Å, b = 5.6782 Å, c = 5.6782 Å
α = 90.00°, β = 90.00°, γ = 90.00°
Closest atoms and distances in Å follow each position.
Fractional positions:
1 Ca 0.0000 0.0000 0.5000  2 Cr 2.84
2 Ca 0.0000 0.5000 0.0000  2 Cr 2.84
3 Ca 0.5000 0.0000 0.0000  2 Cr 2.84
4 Y 0.5000 0.5000 0.5000  12 Ca 4.02
5 Cr 0.0000 0.0000 0.0000  6 Ca 2.84

## Properties
Distance to the lowest polymorph of the same formula in meV/atom: 0.0
D(E_F) in states/eV/cell: 5.15
V in Å³ per cell: 183.1
Energy in eV per atom: -3.8020
Energy relative to the elements in eV/atom: 0.616
Symmetry: No. 221

***

CaY2Cr | GGA-PBE | optimized geometry

a = 3.5829 Å, b = 3.5829 Å, c = 32.4223 Å
α = 90.00°, β = 90.00°, γ = 120.00°
Closest atoms and distances in Å follow each position.
Fractional positions:
1 Ca 0.0000 0.0000 0.0000  3 Cr 3.21, 6 Ca 3.58
2 Ca 0.3333 0.6667 0.6667  3 Cr 3.21, 6 Ca 3.58
3 Ca 0.6667 0.3333 0.3333  3 Cr 3.21, 6 Ca 3.58
4 Y 0.0000 0.0000 0.5205  3 Cr 3.08
5 Y 0.0000 0.0000 0.7642  9 Y 3.57-3.58, 3 Ca 3.78
6 Y 0.3333 0.6667 0.1872  3 Cr 3.08
7 Y 0.3333 0.6667 0.4308  9 Y 3.57-3.58, 3 Ca 3.78
8 Y 0.6667 0.3333 0.0975  9 Y 3.57-3.58, 3 Ca 3.78
9 Y 0.6667 0.3333 0.8538  3 Cr 3.08
10 Cr 0.0000 0.0000 0.2577  3 Y 3.08, 3 Ca 3.21
11 Cr 0.3333 0.6667 0.9244  3 Y 3.08, 3 Ca 3.21
12 Cr 0.6667 0.3333 0.5910  3 Y 3.08, 3 Ca 3.21

## Properties
Distance to the lowest polymorph of the same formula in meV/atom: 221.2
D(E_F) in states/eV/cell: 15.44
V in Å³ per cell: 360.4
Energy in eV per atom: -5.6968
Energy relative to the elements in eV/atom: 0.441
Symmetry: No. 160

***

CaY2Cr | GGA-PBE | optimized geometry

a = 3.6371 Å, b = 3.6543 Å, c = 8.9805 Å
α = 90.00°, β = 90.00°, γ = 90.00°
Closest atoms and distances in Å follow each position.
Fractional positions:
1 Ca 0.0000 0.0000 0.0000  4 Ca 3.64-3.65, 8 Y 3.81
2 Y 0.5000 0.5000 0.3130  4 Cr 3.08, 1 Y 3.36
3 Y 0.5000 0.5000 0.6870  4 Cr 3.08, 1 Y 3.36
4 Cr 0.0000 0.0000 0.5000  8 Y 3.08

## Properties
Distance to the lowest polymorph of the same formula in meV/atom: 0.0
D(E_F) in states/eV/cell: 3.49
V in Å³ per cell: 119.4
Energy in eV per atom: -5.9180
Energy relative to the elements in eV/atom: 0.220
Symmetry: No. 47

***

> Which of these has the highest D(E_F)?

number 8

***

> The lowest energy belongs to which entry?

CaCr3W